Record 1
{"formula": "Cs2TmGaBr6", "functional": "GGA-PBE", "state": "optimized geometry", "spacegroup": "No. 14", "energy_ev_per_atom": -3.5459, "e_form_raw_ev_per_atom": -1.6216, "lattice_angstrom": [[8.160, 0.000, 0.000], [0.000, 8.251, 0.000], [-8.153, 0.000, 11.646]], "species": ["Cs", "Cs", "Cs", "Cs", "Tm", "Tm", "Ga", "Ga", "Br", "Br", "Br", "Br", "Br", "Br", "Br", "Br", "Br", "Br", "Br", "Br"], "fractional_positions": [[0.240, 0.040, 0.250], [0.240, 0.460, 0.750], [0.760, 0.540, 0.250], [0.760, 0.960, 0.750], [0.500, 0.000, 0.000], [0.500, 0.500, 0.500], [0.000, 0.000, 0.500], [0.000, 0.500, 0.000], [0.202, 0.201, 0.972], [0.202, 0.299, 0.472], [0.275, 0.729, 0.974], [0.275, 0.771, 0.474], [0.316, 0.004, 0.764], [0.316, 0.496, 0.264], [0.684, 0.504, 0.736], [0.684, 0.996, 0.236], [0.725, 0.229, 0.526], [0.725, 0.271, 0.026], [0.798, 0.701, 0.528], [0.798, 0.799, 0.028]]}

=====

Record 2
{"formula": "Nd3Sm5Dy3", "functional": "GGA-PBE", "state": "optimized geometry", "de_polymorph_ev_per_atom": 0.4389, "formation_energy_ev_per_atom": 0.757, "spacegroup": "No. 189", "energy_ev_per_atom": -3.9439, "lattice_angstrom": [[9.690, 0.000, 0.000], [-4.845, 8.392, 0.000], [0.000, 0.000, 5.588]], "species": ["Nd", "Nd", "Nd", "Sm", "Sm", "Sm", "Sm", "Sm", "Dy", "Dy", "Dy"], "fractional_positions": [[0.000, 0.585, 0.000], [0.415, 0.415, 0.000], [0.585, 0.000, 0.000], [0.000, 0.376, 0.500], [0.333, 0.667, 0.500], [0.376, 0.000, 0.500], [0.624, 0.624, 0.500], [0.667, 0.333, 0.500], [0.000, 0.743, 0.500], [0.257, 0.257, 0.500], [0.743, 0.000, 0.500]]}

=====

Record 3
{"formula": "Rb2TcPRh", "functional": "GGA-PBE", "state": "optimized geometry", "formation_energy_ev_per_atom": 1.068, "spacegroup": "No. 123", "energy_ev_per_atom": -3.9446, "lattice_angstrom": [[6.546, 0.000, 0.000], [0.000, 6.546, 0.000], [0.000, 0.000, 4.498]], "species": ["Rb", "Rb", "Tc", "P", "Rh"], "fractional_positions": [[0.000, 0.500, 0.000], [0.500, 0.000, 0.000], [0.000, 0.000, 0.500], [0.000, 0.000, 0.000], [0.500, 0.500, 0.500]]}

=====

Record 4
{"formula": "EuY3Tc", "functional": "GGA-PBE", "state": "optimized geometry", "formation_energy_ev_per_atom": 0.058, "spacegroup": "No. 221", "energy_ev_per_atom": -7.9486, "lattice_angstrom": [[5.475, 0.000, 0.000], [0.000, 5.475, 0.000], [0.000, 0.000, 5.475]], "species": ["Eu", "Y", "Y", "Y", "Tc"], "fractional_positions": [[0.000, 0.000, 0.000], [0.000, 0.500, 0.500], [0.500, 0.000, 0.500], [0.500, 0.500, 0.000], [0.500, 0.500, 0.500]]}